The following is a GGA-PBE calculation of a relaxed MnZnSb crystal, from the Alexandria database.

Unit cell a=4.1999 b=4.1999 c=3.9158 alpha=90.00 beta=90.00 gamma=120.00
Last column: nearest neighbours and their distance in Å.
Sites, in units of the cell vectors:
Mn  0.0000  0.0000  0.0000  3 Zn 2.61, 3 Sb 2.86
Zn  0.6667  0.3333  0.7541  3 Mn 2.61, 3 Sb 2.82
Sb  0.3333  0.6667  0.3865  3 Zn 2.82, 3 Mn 2.86

crystal system = trigonal
space group = No. 156
size of the total moment = 3.95 Bohr magnetons per cell
VASP energy = -13.767 eV for the cell shown
formation energy from raw total energies = 0.266 eV per atom

***

The following is a GGA-PBE calculation of a relaxed ZnSi2Br crystal, from the Alexandria database.

Unit cell a=7.3653 b=7.3653 c=7.3653 alpha=133.64 beta=133.64 gamma=67.65
Last column: nearest neighbours and their distance in Å.
Sites, in units of the cell vectors:
Zn  0.0000  0.0000  0.0000  4 Si 2.36
Zn  0.7500  0.2500  0.5000  4 Si 2.36
Si  0.0569  0.6250  0.9319  2 Zn 2.36
Si  0.3750  0.3069  0.4319  2 Zn 2.36
Si  0.6931  0.1250  0.0681  2 Zn 2.36
Si  0.8750  0.9431  0.5681  2 Zn 2.36
Br  0.2500  0.7500  0.5000  4 Si 2.80
Br  0.5000  0.5000  0.0000  4 Si 2.80

crystal system = tetragonal
space group = No. 122
size of the total moment = 0.00 Bohr magnetons per cell
VASP energy = -22.557 eV for the cell shown
formation energy from raw total energies = 0.629 eV per atom

***

The following is a GGA-PBE calculation of a relaxed Sc3CdTc crystal, from the Alexandria database.

Unit cell a=9.3494 b=9.3494 c=4.7806 alpha=90.00 beta=90.00 gamma=150.50
Last column: nearest neighbours and their distance in Å.
Sites, in units of the cell vectors:
Sc  0.0657  0.9343  0.7500  2 Tc 2.85, 2 Cd 2.91
Sc  0.2495  0.7505  0.7500  4 Cd 2.90-2.92, 4 Tc 2.97-2.98
Sc  0.4317  0.5683  0.7500  2 Tc 2.82, 2 Cd 2.89
Sc  0.5683  0.4317  0.2500  2 Tc 2.82, 2 Cd 2.89
Sc  0.7505  0.2495  0.2500  4 Cd 2.90-2.92, 4 Tc 2.97-2.98
Sc  0.9343  0.0657  0.2500  2 Tc 2.85, 2 Cd 2.91
Cd  0.3419  0.6581  0.2500  8 Sc 2.89-2.92
Cd  0.6581  0.3419  0.7500  8 Sc 2.89-2.92
Tc  0.1517  0.8483  0.2500  8 Sc 2.82-2.98
Tc  0.8483  0.1517  0.7500  8 Sc 2.82-2.98

crystal system = orthorhombic
space group = No. 63
size of the total moment = 0.00 Bohr magnetons per cell
formation energy = -0.83 eV per formula unit
VASP energy = -62.215 eV for the cell shown

***

The following is a GGA-PBE calculation of a relaxed K2CaUS6 crystal, from the Alexandria database.

Unit cell a=7.4554 b=7.4527 c=12.8934 alpha=90.00 beta=125.21 gamma=90.00
Last column: nearest neighbours and their distance in Å.
Sites, in units of the cell vectors:
K  0.2500  0.0002  0.2500  12 S 3.70-3.76
K  0.2500  0.4998  0.7500  12 S 3.70-3.76
K  0.7500  0.9998  0.7500  12 S 3.70-3.76
K  0.7500  0.5002  0.2500  12 S 3.70-3.76
Ca  0.0000  0.0000  0.5000  6 S 2.74-2.75
Ca  0.0000  0.5000  0.0000  6 S 2.74-2.75
U  0.5000  0.0000  0.0000  6 S 2.52
U  0.5000  0.5000  0.5000  6 S 2.52
S  0.2569  0.2361  0.9993  1 U 2.52, 1 Ca 2.75
S  0.2569  0.2639  0.4993  1 U 2.52, 1 Ca 2.75
S  0.2626  0.0000  0.7605  1 U 2.52, 1 Ca 2.74
S  0.2626  0.5000  0.2605  1 U 2.52, 1 Ca 2.74
S  0.2630  0.7424  0.4991  1 U 2.52, 1 Ca 2.75
S  0.2630  0.7576  0.9991  1 U 2.52, 1 Ca 2.75
S  0.7373  0.0000  0.2395  1 U 2.52, 1 Ca 2.74
S  0.7370  0.2424  0.0009  1 U 2.52, 1 Ca 2.75
S  0.7370  0.2576  0.5009  1 U 2.52, 1 Ca 2.75
S  0.7373  0.5000  0.7395  1 U 2.52, 1 Ca 2.74
S  0.7431  0.7361  0.5007  1 U 2.52, 1 Ca 2.75
S  0.7431  0.7639  0.0007  1 U 2.52, 1 Ca 2.75

crystal system = monoclinic
space group = No. 14
size of the total moment = 0.00 Bohr magnetons per cell
VASP energy = -103.404 eV for the cell shown
formation energy from raw total energies = -1.145 eV per atom

***

The following is a GGA-PBE calculation of a relaxed Mn2AlHg crystal, from the Alexandria database.

Unit cell a=5.7480 b=5.7480 c=5.7480 alpha=103.11 beta=103.11 gamma=123.12
Last column: nearest neighbours and their distance in Å.
Sites, in units of the cell vectors:
Mn  0.1116  0.1250  0.4866  2 Al 2.55, 2 Hg 2.68, 2 Mn 2.74
Mn  0.3750  0.8884  0.0134  2 Al 2.55, 2 Hg 2.68, 2 Mn 2.74
Mn  0.6384  0.6250  0.5134  2 Al 2.55, 2 Hg 2.68, 2 Mn 2.74
Mn  0.8750  0.3616  0.9866  2 Al 2.55, 2 Hg 2.68, 2 Mn 2.74
Al  0.0000  0.0000  0.0000  4 Mn 2.55, 2 Hg 2.74
Al  0.7500  0.2500  0.5000  4 Mn 2.55, 2 Hg 2.74
Hg  0.2500  0.7500  0.5000  4 Mn 2.68, 2 Al 2.74
Hg  0.5000  0.5000  0.0000  4 Mn 2.68, 2 Al 2.74

crystal system = tetragonal
space group = No. 122
size of the total moment = 12.82 Bohr magnetons per cell
formation energy = 2.01 eV per formula unit
VASP energy = -40.747 eV for the cell shown

***

The following is a GGA-PBE calculation of a relaxed Pt4Br5 crystal, from the Alexandria database.

Unit cell a=7.7210 b=7.7210 c=7.7210 alpha=92.64 beta=92.64 gamma=155.24
Last column: nearest neighbours and their distance in Å.
Sites, in units of the cell vectors:
Pt  0.0000  0.3572  0.3572  4 Pt 2.72
Pt  0.0000  0.6428  0.6428  4 Pt 2.72
Pt  0.3572  0.0000  0.3572  4 Pt 2.72
Pt  0.6428  0.0000  0.6428  4 Pt 2.72
Br  0.0000  0.0000  0.0000  10 Br 3.00-3.31
Br  0.3339  0.3339  0.6677  6 Br 3.00-3.31, 4 Pt 3.17
Br  0.3339  0.6661  0.0000  6 Br 3.00-3.31, 4 Pt 3.17
Br  0.6661  0.3339  0.0000  6 Br 3.00-3.31, 4 Pt 3.17
Br  0.6661  0.6661  0.3323  6 Br 3.00-3.31, 4 Pt 3.17

crystal system = tetragonal
space group = No. 139
size of the total moment = 0.00 Bohr magnetons per cell
VASP energy = -25.730 eV for the cell shown
formation energy from raw total energies = 0.755 eV per atom

***

The following is a GGA-PBE calculation of a relaxed YThSe3 crystal, from the Alexandria database.

Unit cell a=10.7050 b=10.7050 c=7.2862 alpha=90.00 beta=90.00 gamma=157.26
Last column: nearest neighbours and their distance in Å.
Sites, in units of the cell vectors:
Y  0.1632  0.8368  0.5000  6 Se 2.81-3.04
Y  0.8368  0.1632  0.0000  6 Se 2.81-3.04
Th  0.3400  0.6600  0.4968  6 Se 2.84-3.08
Th  0.6600  0.3400  0.9968  6 Se 2.84-3.08
Se  0.0901  0.9099  0.1727  1 Y 2.83, 2 Th 2.87
Se  0.2506  0.7494  0.8315  3 Y 3.03-3.04, 3 Th 3.08
Se  0.4065  0.5935  0.1576  2 Y 2.81, 1 Th 2.84
Se  0.5935  0.4065  0.6576  2 Y 2.81, 1 Th 2.84
Se  0.7494  0.2506  0.3315  3 Y 3.03-3.04, 3 Th 3.08
Se  0.9099  0.0901  0.6727  1 Y 2.83, 2 Th 2.87

crystal system = orthorhombic
space group = No. 36
size of the total moment = 0.70 Bohr magnetons per cell
VASP energy = -65.262 eV for the cell shown
formation energy from raw total energies = -1.659 eV per atom

***

The following is a GGA-PBE calculation of a relaxed Ac5CuRu2 crystal, from the Alexandria database.

Unit cell a=9.3163 b=9.3163 c=9.3163 alpha=127.34 beta=127.34 gamma=77.70
Last column: nearest neighbours and their distance in Å.
Sites, in units of the cell vectors:
Ac  0.0000  0.0000  0.0000  4 Ru 3.19
Ac  0.0279  0.5279  0.8239  3 Ru 3.02-3.17
Ac  0.2040  0.0279  0.5000  3 Ru 3.02-3.17
Ac  0.2960  0.7960  0.8239  3 Ru 3.02-3.17
Ac  0.4721  0.2960  0.5000  3 Ru 3.02-3.17
Ac  0.5000  0.5000  0.0000  4 Ru 3.19
Ac  0.5279  0.7040  0.5000  3 Ru 3.02-3.17
Ac  0.7040  0.2040  0.1761  3 Ru 3.02-3.17
Ac  0.7960  0.9721  0.5000  3 Ru 3.02-3.17
Ac  0.9721  0.4721  0.1761  3 Ru 3.02-3.17
Cu  0.2500  0.2500  0.0000  10 Ac 3.53-3.63
Cu  0.7500  0.7500  0.0000  10 Ac 3.53-3.63
Ru  0.1401  0.3599  0.5000  8 Ac 3.02-3.19, 1 Ru 3.27
Ru  0.3599  0.8599  0.2198  8 Ac 3.02-3.19, 1 Ru 3.27
Ru  0.6401  0.1401  0.7802  8 Ac 3.02-3.19, 1 Ru 3.27
Ru  0.8599  0.6401  0.5000  8 Ac 3.02-3.19, 1 Ru 3.27

crystal system = tetragonal
space group = No. 140
size of the total moment = 0.00 Bohr magnetons per cell
formation energy = -1.14 eV per formula unit
VASP energy = -88.664 eV for the cell shown